This record from the Alexandria database describes LaNdMgRu after structural relaxation. The functional is GGA-PBE.

* crystal system: cubic
* electronic total energy: -5.1947 eV/atom
* Fermi-level density of states: 1.3126 states/eV per atom

Cell lengths 7.394, 7.394, 7.394 Å; angles 90.00, 90.00, 90.00 degrees
Space group F-43m (No. 216)
Inequivalent atoms, fractional coordinates:
La 0.000 0.000 0.000 x4
Nd 0.000 0.000 0.500 x4
Mg 0.250 0.250 0.250 x4
Ru 0.250 0.250 0.750 x4